Computed, not measured: a geometry-optimized FeCuSnRu structure at the GGA-PBE level of DFT.

- Size of the total moment: 3.0 Bohr magnetons per cell
- Mass density: 9.47 g/cm3
- Energy relative to the elements: 2.545 kcal/mol of atoms
- Volume: 59 Å³ per cell
- Space group: No. 216

Lattice parameters (Å, degrees): 4.382 4.382 4.382 60.00 60.00 60.00
Each line ends with the local moment (μB).
Fractional positions:
Ru: 0.500 0.500 0.500  0.28
Sn: 0.750 0.750 0.750  -0.02
Fe: 0.250 0.250 0.250  2.79
Cu: 0.000 0.000 0.000  -0.02



Computed, not measured: a geometry-optimized LiPmTeI structure at the GGA-PBE level of DFT.

- Size of the total moment: 0.0 Bohr magnetons per cell
- Mass density: 5.44 g/cm3
- Volume: 124 Å³ per cell
- Raw total energy: -3.9980 eV per atom
- Space group: No. 160

Lattice parameters (Å, degrees): 4.324 4.324 8.063 74.45 74.45 60.00
Fractional positions:
I: 0.353 0.353 0.941
Te: 0.846 0.846 0.461
Pm: 0.597 0.597 0.210
Li: 0.134 0.134 0.599



Computed, not measured: a geometry-optimized CeThMg structure at the GGA-PBE level of DFT.

- Size of the total moment: 1.9 Bohr magnetons per cell
- Mass density: 7.00 g/cm3
- Energy relative to the elements: 6.024 kcal/mol of atoms
- Volume: 188 Å³ per cell
- Space group: No. 129

Lattice parameters (Å, degrees): 4.845 4.845 8.015 90.00 90.00 90.00
Each line ends with the local moment (μB).
Fractional positions:
Ce: 0.000 0.500 0.705  0.74
Th: 0.000 0.000 0.000  0.04
Ce: 0.500 0.000 0.295  0.74
Mg: 0.500 0.000 0.710  0.00
Mg: 0.000 0.500 0.290  0.00
Th: 0.500 0.500 0.000  0.04



Computed, not measured: a geometry-optimized LaSF structure at the GGA-PBE level of DFT.

- Size of the total moment: 0.0 Bohr magnetons per cell
- Mass density: 5.25 g/cm3
- Volume: 60 Å³ per cell
- Raw total energy: -6.6922 eV per atom
- Space group: No. 187

Lattice parameters (Å, degrees): 4.029 4.148 4.148 120.00 90.00 90.00
Fractional positions:
F: 0.167 0.000 0.000
La: 0.167 0.667 0.333
S: 0.667 0.333 0.667



Computed, not measured: a geometry-optimized AgNF4 structure at the GGA-PBE level of DFT.

- Size of the total moment: 1.9 Bohr magnetons per cell
- Mass density: 3.39 g/cm3
- Volume: 194 Å³ per cell
- Raw total energy: -3.6647 eV per atom
- Space group: No. 1

Lattice parameters (Å, degrees): 8.525 7.676 11.689 127.22 76.27 150.97
Each line ends with the local moment (μB).
Fractional positions:
F: 0.205 0.831 0.504  0.09
F: 0.083 0.094 0.399  0.00
Ag: 0.206 0.944 0.236  0.34
F: 0.827 0.791 0.574  0.00
N: 0.714 0.762 0.093  0.57
N: 0.237 0.776 0.583  0.57
F: 0.593 0.662 0.963  0.09
F: 0.264 0.161 0.984  0.09
F: 0.756 0.154 0.456  0.09
Ag: 0.705 0.943 0.736  -0.33
F: 0.585 0.098 0.899  0.00
F: 0.324 0.785 0.073  0.00



Computed, not measured: a geometry-optimized MnHgTeN2 structure at the GGA-PBE level of DFT.

- Size of the total moment: 0.0 Bohr magnetons per cell
- Mass density: 8.36 g/cm3
- Volume: 82 Å³ per cell
- Raw total energy: -5.0630 eV per atom
- Space group: No. 123

Lattice parameters (Å, degrees): 3.819 5.603 3.819 90.00 90.00 90.00
Fractional positions:
Te: 0.000 0.500 0.000
Hg: 0.500 0.500 0.500
N: 0.000 0.000 0.500
N: 0.500 0.000 0.000
Mn: 0.000 0.000 0.000



Computed, not measured: a geometry-optimized PmZrScAl structure at the GGA-PBE level of DFT.

- Size of the total moment: 0.0 Bohr magnetons per cell
- Mass density: 5.43 g/cm3
- Energy relative to the elements: -1.487 kcal/mol of atoms
- Volume: 94 Å³ per cell
- Space group: No. 216

Lattice parameters (Å, degrees): 5.107 5.107 5.107 60.00 60.00 60.00
Fractional positions:
Sc: 0.500 0.500 0.500
Zr: 0.750 0.750 0.750
Al: 0.000 0.000 0.000
Pm: 0.250 0.250 0.250



Computed, not measured: a geometry-optimized Ni2Sb structure at the GGA-PBE level of DFT.

- Size of the total moment: 0.0 Bohr magnetons per cell
- Mass density: 8.97 g/cm3
- Volume: 44 Å³ per cell
- Raw total energy: -5.1940 eV per atom
- Space group: No. 164

Lattice parameters (Å, degrees): 4.095 4.095 3.050 90.00 90.00 120.00
Fractional positions:
Ni: 0.333 0.667 0.706
Sb: 0.000 0.000 0.000
Ni: 0.667 0.333 0.294



Computed, not measured: a geometry-optimized InPb2 structure at the GGA-PBE level of DFT.

- Size of the total moment: 0.0 Bohr magnetons per cell
- Mass density: 9.62 g/cm3
- Energy relative to the elements: 0.984 kcal/mol of atoms
- Volume: 91 Å³ per cell
- Space group: No. 164

Lattice parameters (Å, degrees): 5.669 5.669 3.283 90.00 90.00 120.00
Fractional positions:
Pb: 0.333 0.667 0.273
Pb: 0.667 0.333 0.727
In: 0.000 0.000 0.000



Computed, not measured: a geometry-optimized LaSmTcHg structure at the GGA-PBE level of DFT.

- Size of the total moment: 0.0 Bohr magnetons per cell
- Mass density: 9.76 g/cm3
- Energy relative to the elements: -1.331 kcal/mol of atoms
- Volume: 100 Å³ per cell
- Space group: No. 216

Lattice parameters (Å, degrees): 5.210 5.210 5.210 60.00 60.00 60.00
Fractional positions:
La: 0.500 0.500 0.500
Tc: 0.250 0.250 0.250
Hg: 0.750 0.750 0.750
Sm: 0.000 0.000 0.000



Computed, not measured: a geometry-optimized DyTm2Se4 structure at the GGA-PBE level of DFT.

- Size of the total moment: 0.0 Bohr magnetons per cell
- Mass density: 7.33 g/cm3
- Volume: 370 Å³ per cell
- Raw total energy: -5.7877 eV per atom
- Space group: No. 74

Lattice parameters (Å, degrees): 8.136 8.033 8.033 60.30 59.58 59.58
Fractional positions:
Tm: 0.000 0.500 0.500
Dy: 0.000 0.500 0.000
Se: 0.244 0.752 0.252
Se: 0.745 0.758 0.752
Se: 0.255 0.748 0.742
Se: 0.247 0.248 0.748
Tm: 0.000 0.000 0.500
Se: 0.255 0.242 0.248
Tm: 0.000 0.000 0.000
Dy: 0.500 0.500 0.000
Se: 0.745 0.252 0.258
Tm: 0.500 0.000 0.500
Se: 0.753 0.752 0.252
Se: 0.756 0.248 0.748



Computed, not measured: a geometry-optimized CaLaVN3 structure at the GGA-PBE level of DFT.

- Size of the total moment: 0.0 Bohr magnetons per cell
- Mass density: 5.22 g/cm3
- Volume: 173 Å³ per cell
- Raw total energy: -7.8731 eV per atom
- Space group: No. 12

Lattice parameters (Å, degrees): 3.878 6.850 7.058 105.10 90.00 106.45
Fractional positions:
Ca: 0.345 0.689 0.922
N: 0.503 0.006 0.238
N: 0.852 0.703 0.175
La: 0.354 0.708 0.426
N: 0.154 0.309 0.336
N: 0.497 0.994 0.762
V: 0.000 0.001 0.791
N: 0.148 0.297 0.825
Ca: 0.655 0.311 0.078
N: 0.846 0.691 0.664
La: 0.646 0.292 0.574
V: 0.000 0.999 0.209



- volume of number 4 (LaSF)?
  60 Å³ per cell